TlBr2F at its PBEsol-relaxed geometry, computed with meta-GGA SCAN.

DFT total energy: -115.109 eV/f.u.
volume: 27.6 A^3/atom
formation energy without anion corrections: -0.07 eV/atom

Unit cell a=3.9290 b=3.9290 c=24.7341 alpha=90.00 beta=90.00 gamma=120.00
Space group R-3m (No. 166, hexagonal axes)
Inequivalent atoms, fractional coordinates:
1 Tl 0.0000 0.0000 0.0000
2 Br 0.0000 0.0000 0.0981
3 F 0.0000 0.0000 0.5000



Y2BrF at its PBEsol-relaxed geometry, computed with meta-GGA SCAN.

DFT total energy: -83.370 eV/f.u.
volume: 19.3 A^3/atom
formation energy without anion corrections: -1.17 eV/atom

Unit cell a=6.7550 b=6.7550 c=6.7550 alpha=90.00 beta=90.00 gamma=90.00
Space group Fm-3m (No. 225)
Inequivalent atoms, fractional coordinates:
1 Y 0.2500 0.2500 0.2500
2 Br 0.0000 0.0000 0.0000
3 F 0.0000 0.0000 0.5000



ZnBr3F at its PBEsol-relaxed geometry, computed with meta-GGA SCAN.

DFT total energy: -73.653 eV/f.u.
volume: 22.3 A^3/atom
formation energy without anion corrections: 0.36 eV/atom

Unit cell a=4.8124 b=4.8124 c=4.8124 alpha=90.00 beta=90.00 gamma=90.00
Space group Pm-3m (No. 221)
Inequivalent atoms, fractional coordinates:
1 Zn 0.0000 0.0000 0.0000
2 Br 0.0000 0.5000 0.5000
3 F 0.5000 0.5000 0.5000



Zr3BrF at its PBEsol-relaxed geometry, computed with meta-GGA SCAN.

DFT total energy: -116.646 eV/f.u.
volume: 18.4 A^3/atom
formation energy without anion corrections: -0.31 eV/atom

Unit cell a=4.5144 b=4.5144 c=4.5144 alpha=90.00 beta=90.00 gamma=90.00
Space group Pm-3m (No. 221)
Inequivalent atoms, fractional coordinates:
1 Zr 0.0000 0.0000 0.5000
2 Br 0.5000 0.5000 0.5000
3 F 0.0000 0.0000 0.0000



ZrBr2F at its PBEsol-relaxed geometry, computed with meta-GGA SCAN.

DFT total energy: -78.645 eV/f.u.
volume: 17.7 A^3/atom
formation energy without anion corrections: -1.37 eV/atom

Unit cell a=6.5699 b=6.5699 c=6.5699 alpha=90.00 beta=90.00 gamma=90.00
Space group Fm-3m (No. 225)
Inequivalent atoms, fractional coordinates:
1 Zr 0.0000 0.0000 0.0000
2 Br 0.2500 0.2500 0.2500
3 F 0.0000 0.0000 0.5000



FeBr2 at its PBEsol-relaxed geometry, computed with meta-GGA SCAN.

DFT total energy: -52.978 eV/f.u.
volume: 24.8 A^3/atom
formation energy without anion corrections: 1.36 eV/atom

Unit cell a=8.4070 b=8.4070 c=8.4070 alpha=90.00 beta=90.00 gamma=90.00
Space group Fd-3m (No. 227, origin choice 2)
Inequivalent atoms, fractional coordinates:
1 Fe 0.1250 0.1250 0.1250
2 Br 0.0000 0.0000 0.5000



Fe2Br at its PBEsol-relaxed geometry, computed with meta-GGA SCAN.

DFT total energy: -54.650 eV/f.u.
volume: 15.4 A^3/atom
formation energy without anion corrections: 0.36 eV/atom

Unit cell a=3.1153 b=3.1153 c=5.4838 alpha=90.00 beta=90.00 gamma=120.00
Space group P-3m1 (No. 164)
Inequivalent atoms, fractional coordinates:
1 Fe 0.3333 0.6667 0.3589
2 Br 0.0000 0.0000 0.0000



FeBr2 at its PBEsol-relaxed geometry, computed with meta-GGA SCAN.

DFT total energy: -58.123 eV/f.u.
volume: 24.1 A^3/atom
formation energy without anion corrections: -0.36 eV/atom

Unit cell a=3.6122 b=3.6122 c=6.3976 alpha=90.00 beta=90.00 gamma=120.00
Space group P-3m1 (No. 164)
Inequivalent atoms, fractional coordinates:
1 Fe 0.0000 0.0000 0.0000
2 Br 0.3333 0.6667 0.2343



FeBr at its PBEsol-relaxed geometry, computed with meta-GGA SCAN.

DFT total energy: -37.681 eV/f.u.
volume: 19.0 A^3/atom
formation energy without anion corrections: -0.05 eV/atom

Unit cell a=3.3060 b=3.3060 c=6.9607 alpha=90.00 beta=90.00 gamma=90.00
Space group P4/nmm (No. 129, origin choice 2)
Inequivalent atoms, fractional coordinates:
1 Fe 0.2500 0.2500 0.0676
2 Br 0.2500 0.2500 0.7188



FeBr2 at its PBEsol-relaxed geometry, computed with meta-GGA SCAN.

DFT total energy: -58.607 eV/f.u.
volume: 26.6 A^3/atom
formation energy without anion corrections: -0.52 eV/atom

Unit cell a=12.8850 b=3.4014 c=7.2782 alpha=90.00 beta=90.62 gamma=90.00
Space group Cm (No. 8)
Inequivalent atoms, fractional coordinates:
1 Fe 0.0000 0.0000 0.0000
2 Fe 0.0964 0.5000 0.3146
3 Br 0.1675 0.0000 0.5376
4 Br 0.1800 0.0000 0.0744
5 Br 0.4309 0.0000 0.8005
6 Br 0.4358 0.5000 0.3063



FeBr2 at its PBEsol-relaxed geometry, computed with meta-GGA SCAN.

DFT total energy: -57.159 eV/f.u.
volume: 23.6 A^3/atom
formation energy without anion corrections: -0.04 eV/atom

Unit cell a=4.1825 b=4.1825 c=9.3595 alpha=90.00 beta=90.00 gamma=120.00
Space group P6_3/mmc (No. 194)
Inequivalent atoms, fractional coordinates:
1 Fe 0.3333 0.6667 0.2500
2 Br 0.0000 0.0000 0.0000
3 Br 0.3333 0.6667 0.7500



FeBr at its PBEsol-relaxed geometry, computed with meta-GGA SCAN.

DFT total energy: -37.325 eV/f.u.
volume: 17.6 A^3/atom
formation energy without anion corrections: 0.13 eV/atom

Unit cell a=4.0662 b=4.0662 c=4.9236 alpha=90.00 beta=90.00 gamma=120.00
Space group P6_3/mmc (No. 194)
Inequivalent atoms, fractional coordinates:
1 Fe 0.0000 0.0000 0.0000
2 Br 0.3333 0.6667 0.2500



FeBr2 at its PBEsol-relaxed geometry, computed with meta-GGA SCAN.

DFT total energy: -57.690 eV/f.u.
volume: 22.1 A^3/atom
formation energy without anion corrections: -0.21 eV/atom

Unit cell a=3.2242 b=3.2242 c=12.7638 alpha=90.00 beta=90.00 gamma=90.00
Space group I4/mmm (No. 139)
Inequivalent atoms, fractional coordinates:
1 Fe 0.0000 0.0000 0.0000
2 Br 0.0000 0.0000 0.3764



FeBr2 at its PBEsol-relaxed geometry, computed with meta-GGA SCAN.

DFT total energy: -59.090 eV/f.u.
volume: 29.7 A^3/atom
formation energy without anion corrections: -0.68 eV/atom

Unit cell a=5.6909 b=11.0910 c=5.6392 alpha=90.00 beta=90.00 gamma=90.00
Space group Ibam (No. 72)
Inequivalent atoms, fractional coordinates:
1 Fe 0.0000 0.0000 0.2500
2 Br 0.2402 0.1235 0.0000



Fe4Br at its PBEsol-relaxed geometry, computed with meta-GGA SCAN.

DFT total energy: -89.510 eV/f.u.
volume: 18.1 A^3/atom
formation energy without anion corrections: 0.49 eV/atom

Unit cell a=3.3324 b=3.3324 c=16.3357 alpha=90.00 beta=90.00 gamma=90.00
Space group I4/mmm (No. 139)
Inequivalent atoms, fractional coordinates:
1 Fe 0.0000 0.0000 0.1438
2 Fe 0.0000 0.5000 0.2500
3 Br 0.0000 0.0000 0.0000



GaFe2HBr at its PBEsol-relaxed geometry, computed with meta-GGA SCAN.

DFT total energy: -72.726 eV/f.u.
volume: 14.2 A^3/atom

Unit cell a=3.7253 b=3.7253 c=5.1022 alpha=90.00 beta=90.00 gamma=90.00
Space group P4/mmm (No. 123)
Inequivalent atoms, fractional coordinates:
1 Ga 0.0000 0.0000 0.0000
2 Fe 0.0000 0.5000 0.5000
3 H 0.5000 0.5000 0.5000
4 Br 0.5000 0.5000 0.0000



Ga2FeBrO at its PBEsol-relaxed geometry, computed with meta-GGA SCAN.

DFT total energy: -78.413 eV/f.u.
volume: 16.6 A^3/atom
formation energy without anion corrections: -0.38 eV/atom

Unit cell a=4.8831 b=4.8831 c=3.4707 alpha=90.00 beta=90.00 gamma=90.00
Space group P4/mmm (No. 123)
Inequivalent atoms, fractional coordinates:
1 Ga 0.0000 0.5000 0.0000
2 Fe 0.0000 0.0000 0.0000
3 Br 0.5000 0.5000 0.5000
4 O 0.0000 0.0000 0.5000



GaFeSeBr2 at its PBEsol-relaxed geometry, computed with meta-GGA SCAN.

DFT total energy: -92.131 eV/f.u.
volume: 24.9 A^3/atom
formation energy without anion corrections: 0.27 eV/atom

Unit cell a=4.9600 b=4.9600 c=5.0579 alpha=90.00 beta=90.00 gamma=90.00
Space group P4/mmm (No. 123)
Inequivalent atoms, fractional coordinates:
1 Ga 0.0000 0.0000 0.0000
2 Fe 0.5000 0.5000 0.5000
3 Se 0.0000 0.0000 0.5000
4 Br 0.0000 0.5000 0.0000



TlGaFeBr2 at its PBEsol-relaxed geometry, computed with meta-GGA SCAN.

DFT total energy: -143.055 eV/f.u.
volume: 34.9 A^3/atom
formation energy without anion corrections: 0.54 eV/atom

Unit cell a=5.7557 b=5.7557 c=5.2713 alpha=90.00 beta=90.00 gamma=90.00
Space group P4/mmm (No. 123)
Inequivalent atoms, fractional coordinates:
1 Tl 0.0000 0.0000 0.0000
2 Ga 0.0000 0.0000 0.5000
3 Fe 0.5000 0.5000 0.5000
4 Br 0.0000 0.5000 0.0000



FeSiH2Br at its PBEsol-relaxed geometry, computed with meta-GGA SCAN.

DFT total energy: -50.976 eV/f.u.
volume: 13.7 A^3/atom

Unit cell a=3.5063 b=3.5063 c=5.5900 alpha=90.00 beta=90.00 gamma=90.00
Space group P4/mmm (No. 123)
Inequivalent atoms, fractional coordinates:
1 Fe 0.0000 0.0000 0.0000
2 Si 0.5000 0.5000 0.5000
3 H 0.0000 0.5000 0.5000
4 Br 0.5000 0.5000 0.0000